Compound: Y6In2Pt
Source: the Alexandria database
Functional: PBE
Structure: optimized geometry

energy relative to the elements	-551.6	meV/atom
space-group type	Amm2

Unit cell a=3.8603 b=8.7162 c=8.7088 alpha=120.03 beta=90.00 gamma=90.00
Closest atoms and distances in Å follow each position.
Fractional positions:
Pt 0.5000 0.0009 0.0000  6 Y 2.89
Y 0.0000 0.9996 0.2461  2 Pt 2.89
In 0.0000 0.3331 0.6663  9 Y 3.30-3.35
In 0.0000 0.6668 0.3337  9 Y 3.30-3.35
Y 0.0000 0.2469 0.0000  2 Pt 2.89
Y 0.5000 0.3956 0.3956  4 In 3.30, 1 Pt 3.44, 6 Y 3.58-3.67
Y 0.5000 0.0000 0.6044  4 In 3.30, 1 Pt 3.44, 6 Y 3.58-3.67
Y 0.5000 0.6037 0.0000  4 In 3.30, 1 Pt 3.46, 6 Y 3.58-3.66
Y 0.0000 0.7535 0.7539  2 Pt 2.89

---

Compound: PrTl2TeO6
Source: the Alexandria database
Functional: PBE
Structure: optimized geometry

E_tot	-113.66	eV for the cell shown
space-group type	Pmmn

Unit cell a=6.0805 b=6.0879 c=8.6099 alpha=90.00 beta=90.00 gamma=90.00
Closest atoms and distances in Å follow each position.
Fractional positions:
O 0.7271 0.0211 0.5000  1 Te 1.95
Te 0.0000 0.7518 0.0000  6 O 1.95
O 0.0000 0.7536 0.2269  1 Te 1.95
O 0.2729 0.0211 0.5000  1 Te 1.95
O 0.0000 0.7536 0.7731  1 Te 1.95
Tl 0.5000 0.7549 0.2496  12 O 3.00-3.10
O 0.7270 0.4744 0.5000  1 Te 1.95
O 0.5000 0.2464 0.7269  1 Te 1.95
Pr 0.0000 0.7467 0.5000  6 O 2.35
O 0.5000 0.2464 0.2731  1 Te 1.95
Pr 0.5000 0.2533 0.0000  6 O 2.35
Tl 0.5000 0.7549 0.7504  12 O 3.00-3.10
O 0.2270 0.5256 0.0000  1 Te 1.95
O 0.7730 0.5256 0.0000  1 Te 1.95
Te 0.5000 0.2482 0.5000  6 O 1.95
Tl 0.0000 0.2451 0.7496  12 O 3.00-3.10
O 0.2271 0.9789 0.0000  1 Te 1.95
Tl 0.0000 0.2451 0.2504  12 O 3.00-3.10
O 0.2730 0.4744 0.5000  1 Te 1.95
O 0.7729 0.9789 0.0000  1 Te 1.95

---

Compound: Mg2Hg2Rh
Source: the Alexandria database
Functional: PBE
Structure: optimized geometry

energy relative to the elements	-30.4	meV/atom
space-group type	P4/mbm

Unit cell a=7.4279 b=7.4279 c=3.5790 alpha=90.00 beta=90.00 gamma=90.00
Closest atoms and distances in Å follow each position.
Fractional positions:
Hg 0.1395 0.3605 0.0000  6 Mg 2.70-2.91, 2 Rh 2.87, 1 Hg 2.93
Hg 0.6395 0.1395 0.0000  6 Mg 2.70-2.91, 2 Rh 2.87, 1 Hg 2.93
Hg 0.8605 0.6395 0.0000  6 Mg 2.70-2.91, 2 Rh 2.87, 1 Hg 2.93
Mg 0.8320 0.3320 0.5000  6 Hg 2.70-2.91
Mg 0.6680 0.8320 0.5000  6 Hg 2.70-2.91
Rh 0.0000 0.0000 0.0000  4 Hg 2.87
Hg 0.3605 0.8605 0.0000  6 Mg 2.70-2.91, 2 Rh 2.87, 1 Hg 2.93
Mg 0.1680 0.6680 0.5000  6 Hg 2.70-2.91
Rh 0.5000 0.5000 0.0000  4 Hg 2.87
Mg 0.3320 0.1680 0.5000  6 Hg 2.70-2.91

---

Compound: Cd2MoPb
Source: the Alexandria database
Functional: PBE
Structure: optimized geometry

energy relative to the elements	450.7	meV/atom
space-group type	Immm

Unit cell a=6.5242 b=6.5242 c=6.5242 alpha=151.83 beta=137.48 gamma=51.79
Closest atoms and distances in Å follow each position.
Fractional positions:
Cd 0.5395 0.5395 0.0000  2 Mo 2.94, 6 Cd 3.00-3.18
Mo 0.7500 0.2500 0.5000  4 Pb 2.85, 4 Cd 2.94, 2 Mo 3.18
Cd 0.9605 0.9605 0.0000  2 Mo 2.94, 6 Cd 3.00-3.18
Pb 0.2500 0.7500 0.5000  4 Mo 2.85, 2 Pb 3.18